Ba3TmGe2O9 after structural relaxation. Source: Alexandria via LeMat-Bulk, functional PBE.

Computed properties:
DFT total energy = -99.934 eV/cell

a b c (Å): 5.8030 5.8030 7.1326
angles (deg): 90.00 90.00 120.00
With the nearest neighbours (Å) after each atom.
Fractional positions:
Ba  0.0000  0.0000  0.0000  12 O 2.87-2.90
Ba  0.3333  0.6667  0.6778  12 O 2.84-3.02
Ba  0.6667  0.3333  0.3222  12 O 2.84-3.02
Tm  0.0000  0.0000  0.5000  6 O 2.21
Ge  0.3333  0.6667  0.1726  6 O 1.88-2.08
Ge  0.6667  0.3333  0.8274  6 O 1.88-2.08
O  0.0000  0.5000  0.0000  2 Ge 2.08
O  0.1769  0.3537  0.3167  1 Ge 1.88
O  0.1769  0.8231  0.3167  1 Ge 1.88
O  0.3537  0.1769  0.6833  1 Ge 1.88
O  0.5000  0.0000  0.0000  2 Ge 2.08
O  0.5000  0.5000  0.0000  2 Ge 2.08
O  0.6463  0.8231  0.3167  1 Ge 1.88
O  0.8231  0.1769  0.6833  1 Ge 1.88
O  0.8231  0.6463  0.6833  1 Ge 1.88